The following is a PBE calculation of a geometry-optimized PaPd3Pt2 structure, from the Alexandria database.

total DFT energy (no corrections) = -6.7592 eV per atom
excess energy over the best structure of this formula in the dataset = 0.052 eV/atom
E_form = -567 meV/atom
mass density = 14.66 g/cm³

a = 5.360 Å, b = 5.695 Å, c = 7.538 Å
α = 67.81°, β = 90.00°, γ = 90.00°
Sites, in units of the cell vectors:
Pd  0.250  0.926  0.648
Pd  0.750  0.574  0.352
Pd  0.250  0.426  0.648
Pd  0.250  0.844  0.311
Pd  0.750  0.156  0.689
Pd  0.750  0.074  0.352
Pa  0.250  0.349  0.301
Pa  0.750  0.651  0.699
Pt  0.000  0.757  0.000
Pt  0.500  0.243  0.000
Pt  0.000  0.243  0.000
Pt  0.500  0.757  0.000